[1]
The following is a PBE calculation of a relaxed YTc2Hg crystal, from Alexandria.

Properties
Symmetry: No. 6
Density: 10.3 g/cm³
Energy of formation from the pure elements: 0.18 eV/atom
Spin magnetization: 0.00 Bohr magnetons per cell

Cell: 4.0858 3.1218 6.5601 Å, 68.77 90.00 90.00°
With the nearest neighbours (Å) after each atom.
Sites, in units of the cell vectors:
1 Y 0.0000 0.4705 0.4787  3 Tc 2.75-2.96
2 Tc 0.0000 0.0376 0.0462  2 Tc 2.49, 1 Y 2.75
3 Hg 0.5000 0.7535 0.7656  5 Tc 2.77-3.09
4 Tc 0.5000 0.2384 0.2095  2 Tc 2.49, 1 Hg 2.77

=====

[2]
The following is a PBE calculation of a relaxed Y4TcHg crystal, from Alexandria.

Properties
Symmetry: No. 216
Density: 6.9 g/cm³
Energy of formation from the pure elements: 0.73 eV/atom
Spin magnetization: 1.01 Bohr magnetons per cell

Cell: 6.0538 6.0538 6.0538 Å, 60.00 60.00 60.00°
With the nearest neighbours (Å) after each atom.
Sites, in units of the cell vectors:
1 Tc 0.0000 0.0000 0.0000  12 Y 3.55, 4 Hg 3.71
2 Y 0.3739 0.3739 0.3739  6 Y 3.00-3.05
3 Y 0.8784 0.3739 0.3739  6 Y 3.00-3.05
4 Y 0.3739 0.3739 0.8784  6 Y 3.00-3.05
5 Y 0.3739 0.8784 0.3739  6 Y 3.00-3.05
6 Hg 0.7500 0.7500 0.7500  12 Y 3.55, 4 Tc 3.71

=====

[3]
The following is a PBE calculation of a relaxed YTc4Hg crystal, from Alexandria.

Properties
Symmetry: No. 216
Density: 10.6 g/cm³
Energy of formation from the pure elements: 0.15 eV/atom
Spin magnetization: 0.00 Bohr magnetons per cell

Cell: 5.3241 5.3241 5.3241 Å, 60.00 60.00 60.00°
With the nearest neighbours (Å) after each atom.
Sites, in units of the cell vectors:
1 Y 0.7500 0.7500 0.7500  12 Tc 3.12, 4 Hg 3.26
2 Tc 0.3739 0.8784 0.3739  6 Tc 2.64-2.69
3 Hg 0.0000 0.0000 0.0000  12 Tc 3.12, 4 Y 3.26
4 Tc 0.3739 0.3739 0.8784  6 Tc 2.64-2.69
5 Tc 0.3739 0.3739 0.3739  6 Tc 2.64-2.69
6 Tc 0.8784 0.3739 0.3739  6 Tc 2.64-2.69

=====

[4]
The following is a PBE calculation of a relaxed YTc2Hg crystal, from Alexandria.

Properties
Symmetry: No. 65
Density: 10.8 g/cm³
Energy of formation from the pure elements: 0.61 eV/atom
Spin magnetization: 0.00 Bohr magnetons per cell

Cell: 2.9210 2.9210 9.2630 Å, 90.00 90.00 108.79°
With the nearest neighbours (Å) after each atom.
Sites, in units of the cell vectors:
1 Hg 0.5000 0.5000 0.7500  4 Tc 2.85, 4 Hg 2.92
2 Y 0.5000 0.5000 0.2500  4 Tc 2.89, 4 Y 2.92
3 Tc 0.0000 0.0000 0.9972  2 Hg 2.85, 2 Y 2.89, 4 Tc 2.92
4 Tc 0.0000 0.0000 0.5028  2 Hg 2.85, 2 Y 2.89, 4 Tc 2.92

=====

[5]
The following is a PBE calculation of a relaxed Y4TcHg crystal, from Alexandria.

Properties
Symmetry: No. 15
Density: 6.6 g/cm³
Energy of formation from the pure elements: -0.25 eV/atom
Spin magnetization: 0.00 Bohr magnetons per cell

Cell: 6.3209 7.6450 7.6450 Å, 112.06 98.62 98.62°
With the nearest neighbours (Å) after each atom.
Sites, in units of the cell vectors:
1 Tc 0.7500 0.0014 0.9986  8 Y 2.79-3.04
2 Y 0.4589 0.7250 0.0661  2 Tc 2.79-2.84
3 Y 0.5411 0.2750 0.9339  2 Tc 2.79-2.84
4 Hg 0.2500 0.3724 0.6276  8 Y 3.14-3.33
5 Tc 0.2500 0.9986 0.0014  8 Y 2.79-3.04
6 Y 0.9589 0.0661 0.7250  2 Tc 2.79-2.84
7 Y 0.5938 0.2049 0.3651  2 Tc 2.97-3.04, 2 Hg 3.21-3.26
8 Y 0.9062 0.6349 0.7951  2 Tc 2.97-3.04, 2 Hg 3.21-3.26
9 Y 0.0411 0.9339 0.2750  2 Tc 2.79-2.84
10 Hg 0.7500 0.6276 0.3724  8 Y 3.14-3.33
11 Y 0.4062 0.7951 0.6349  2 Tc 2.97-3.04, 2 Hg 3.21-3.26
12 Y 0.0938 0.3651 0.2049  2 Tc 2.97-3.04, 2 Hg 3.21-3.26

=====

[6]
The following is a PBE calculation of a relaxed YTc2Hg crystal, from Alexandria.

Properties
Symmetry: No. 12
Density: 10.8 g/cm³
Energy of formation from the pure elements: 0.45 eV/atom
Spin magnetization: 0.00 Bohr magnetons per cell

Cell: 5.6208 5.6208 2.9595 Å, 77.30 77.30 117.98°
With the nearest neighbours (Å) after each atom.
Sites, in units of the cell vectors:
1 Tc 0.0000 0.0000 0.0000  2 Y 2.87, 2 Hg 2.87, 6 Tc 2.90-3.14
2 Y 0.5000 0.0000 0.5000  4 Tc 2.87, 4 Hg 2.90-3.14, 2 Y 2.96
3 Tc 0.5000 0.5000 0.0000  2 Hg 2.87, 2 Y 2.87, 6 Tc 2.90-3.14
4 Hg 0.0000 0.5000 0.5000  4 Tc 2.87, 4 Y 2.90-3.14, 2 Hg 2.96

=====

[7]
The following is a PBE calculation of a relaxed YTc2Hg crystal, from Alexandria.

Properties
Symmetry: No. 122
Density: 9.1 g/cm³
Energy of formation from the pure elements: 0.54 eV/atom
Spin magnetization: 0.00 Bohr magnetons per cell

Cell: 4.1985 4.1985 10.4352 Å, 78.39 78.39 90.00°
With the nearest neighbours (Å) after each atom.
Sites, in units of the cell vectors:
1 Tc 0.0196 0.6250 0.2500  2 Tc 2.42
2 Tc 0.3750 0.2696 0.7500  2 Tc 2.42
3 Hg 0.7500 0.2500 0.5000  4 Tc 2.78, 4 Y 2.97
4 Hg 0.0000 0.0000 0.0000  4 Tc 2.78, 4 Y 2.97
5 Y 0.5000 0.5000 0.0000  4 Hg 2.97, 4 Tc 3.10
6 Y 0.2500 0.7500 0.5000  4 Hg 2.97, 4 Tc 3.10
7 Tc 0.8750 0.9804 0.7500  2 Tc 2.42
8 Tc 0.7304 0.1250 0.2500  2 Tc 2.42

=====

[8]
The following is a PBE calculation of a relaxed YTc2Hg crystal, from Alexandria.

Properties
Symmetry: No. 119
Density: 10.8 g/cm³
Energy of formation from the pure elements: 0.31 eV/atom
Spin magnetization: 0.00 Bohr magnetons per cell

Cell: 4.9317 4.9317 4.9317 Å, 126.66 126.66 78.80°
With the nearest neighbours (Å) after each atom.
Sites, in units of the cell vectors:
1 Tc 0.2500 0.7500 0.5000  4 Tc 2.92, 4 Y 2.92, 4 Hg 3.13
2 Y 0.5000 0.5000 0.0000  8 Tc 2.92-3.13, 4 Hg 2.92
3 Tc 0.0000 0.0000 0.0000  4 Hg 2.92, 4 Tc 2.92, 4 Y 3.13
4 Hg 0.7500 0.2500 0.5000  8 Tc 2.92-3.13, 4 Y 2.92